[1]
8
Lattice="-2.8845 2.8845 4.6461 2.8845 -2.8845 4.6461 2.8845 2.8845 -4.6461" Properties=species:S:1:pos:R:3 comment="MgBSe2 PBEsol optimized geometry" formation_energy_uncorrected_ev_per_atom=-0.09 e_above_lowest_polymorph_kj_per_mol_fu=0 final_energy_ev_per_atom=-4.200 spacegroup=I-42d crystal_system=tetragonal pbc="T T T"
Mg 0.0000 0.0000 0.0000
Mg 0.0000 2.8845 2.3230
B 2.8845 0.0000 2.3230
B 0.0000 0.0000 4.6461
Se 1.4423 -1.0026 3.4845
Se 1.8820 1.4423 1.1615
Se 1.4423 3.8871 -1.1615
Se 1.0026 1.4423 5.8076

***

[2]
8
Lattice="-3.3745 3.3745 3.1383 3.3745 -3.3745 3.1383 3.3745 3.3745 -3.1383" Properties=species:S:1:pos:R:3 comment="Mg2BSe PBEsol optimized geometry" formation_energy_uncorrected_ev_per_atom=0.22 final_energy_ev_per_atom=-3.359 spacegroup=I-42d crystal_system=tetragonal pbc="T T T"
Mg 1.6873 1.4630 -0.7846
Mg 1.9116 -1.6873 3.9228
Mg 1.6873 1.9116 2.3537
Mg 1.4630 5.0618 0.7846
B 0.0000 0.0000 0.0000
B 0.0000 3.3745 1.5691
Se 3.3745 0.0000 1.5691
Se 0.0000 0.0000 3.1383

***

[3]
4
Lattice="0.0000 3.0360 3.0360 3.0360 0.0000 3.0360 3.0360 3.0360 0.0000" Properties=species:S:1:pos:R:3 comment="MgSi2B PBEsol optimized geometry" formation_energy_uncorrected_ev_per_atom=0.94 e_above_lowest_polymorph_kj_per_mol_fu=312 final_energy_ev_per_atom=-4.119 spacegroup=Fm-3m crystal_system=cubic pbc="T T T"
Mg 0.0000 0.0000 0.0000
Si 1.5180 1.5180 1.5180
Si 4.5540 4.5540 4.5540
B 3.0360 3.0360 3.0360

***

[4]
8
Lattice="-3.3535 3.3535 2.4325 3.3535 -3.3535 2.4325 3.3535 3.3535 -2.4325" Properties=species:S:1:pos:R:3 comment="MgSi2B PBEsol optimized geometry" formation_energy_uncorrected_ev_per_atom=0.13 e_above_lowest_polymorph_kj_per_mol_fu=0 final_energy_ev_per_atom=-4.927 spacegroup=I-42d crystal_system=tetragonal pbc="T T T"
Mg 0.0000 0.0000 0.0000
Mg 0.0000 3.3535 1.2163
Si 1.6767 -1.1042 1.8244
Si 2.2493 1.6767 0.6081
Si 1.6767 4.4576 -0.6081
Si 1.1042 1.6767 3.0406
B 3.3535 0.0000 1.2163
B 0.0000 0.0000 2.4325

***

[5]
5
Lattice="4.4848 0.0000 0.0000 0.0000 4.4848 0.0000 0.0000 0.0000 5.0652" Properties=species:S:1:pos:R:3 comment="MgZn2SiB PBEsol optimized geometry" formation_energy_uncorrected_ev_per_atom=1.21 final_energy_ev_per_atom=-2.319 spacegroup=P4/mmm crystal_system=tetragonal pbc="T T T"
Mg 0.0000 0.0000 0.0000
Zn 0.0000 2.2424 2.5326
Zn 2.2424 0.0000 2.5326
Si 0.0000 0.0000 2.5326
B 2.2424 2.2424 0.0000

***

[6]
8
Lattice="-2.1526 2.1526 8.5347 2.1526 -2.1526 8.5347 2.1526 2.1526 -8.5347" Properties=species:S:1:pos:R:3 comment="Mg2SnB PBEsol optimized geometry" formation_enthalpy_0k_ev_per_atom=0.680 e_above_lowest_polymorph_kj_per_mol_fu=35 final_energy_ev_per_atom=-2.997 spacegroup=I-42d crystal_system=tetragonal pbc="T T T"
Mg 3.2289 0.8623 -2.1337
Mg 0.8623 1.0763 2.1337
Mg -1.0763 1.2904 6.4011
Mg 1.2904 1.0763 10.6684
Sn 2.1526 0.0000 4.2674
Sn 0.0000 0.0000 8.5347
B 0.0000 0.0000 0.0000
B 0.0000 2.1526 4.2674

***

[7]
4
Lattice="0.0000 3.3130 3.3130 3.3130 0.0000 3.3130 3.3130 3.3130 0.0000" Properties=species:S:1:pos:R:3 comment="Mg2SnB PBEsol optimized geometry" formation_enthalpy_0k_ev_per_atom=0.591 e_above_lowest_polymorph_kj_per_mol_fu=0 final_energy_ev_per_atom=-3.087 spacegroup=Fm-3m crystal_system=cubic pbc="T T T"
Mg 1.6565 1.6565 1.6565
Mg 4.9695 4.9695 4.9695
Sn 0.0000 0.0000 0.0000
B 3.3130 3.3130 3.3130

***

[8]
8
Lattice="4.5337 0.0000 0.0000 0.0000 2.9467 6.9786 0.0000 -2.9467 6.9786" Properties=species:S:1:pos:R:3 comment="SrMg6B PBEsol optimized geometry" formation_enthalpy_0k_ev_per_atom=0.279 final_energy_ev_per_atom=-2.116 spacegroup=Amm2 crystal_system=orthorhombic pbc="T T T"
Sr 0.0000 0.0000 0.0000
Mg 0.0000 -1.4322 10.3863
Mg 0.0000 1.4322 10.3863
Mg 2.2668 -1.3714 5.3151
Mg 2.2668 0.0000 2.3129
Mg 2.2668 0.0000 8.3027
Mg 2.2668 1.3714 5.3151
B 0.0000 0.0000 5.3317